[1]
Below is a geometry-optimized Sm2MgGa2Pd5 structure, with properties calculated at the GGA-PBE level.

a = 10.0585 Å, b = 10.0585 Å, c = 3.7194 Å
α = 90.00°, β = 90.00°, γ = 90.00°
Sites, in units of the cell vectors:
Sm: 0.1762 0.3238 0.0000
Sm: 0.3238 0.8238 0.0000
Sm: 0.6762 0.1762 0.0000
Sm: 0.8238 0.6762 0.0000
Mg: 0.0000 0.0000 0.0000
Mg: 0.5000 0.5000 0.0000
Ga: 0.1221 0.6221 0.0000
Ga: 0.3779 0.1221 0.0000
Ga: 0.6221 0.8779 0.0000
Ga: 0.8779 0.3779 0.0000
Pd: 0.0000 0.5000 0.5000
Pd: 0.0630 0.7914 0.5000
Pd: 0.2086 0.0630 0.5000
Pd: 0.2914 0.5630 0.5000
Pd: 0.4370 0.2914 0.5000
Pd: 0.5000 0.0000 0.5000
Pd: 0.5630 0.7086 0.5000
Pd: 0.7086 0.4370 0.5000
Pd: 0.7914 0.9370 0.5000
Pd: 0.9370 0.2086 0.5000

- energy of formation from the pure elements (eV per atom) = -0.7241
- magnetic moment (μB per atom) = 0.000
- space-group type = P4/mbm (127)

---

[2]
Below is a geometry-optimized Ac4As3Br structure, with properties calculated at the GGA-PBE level.

a = 7.8632 Å, b = 7.8632 Å, c = 4.5301 Å
α = 90.00°, β = 90.00°, γ = 109.26°
Sites, in units of the cell vectors:
Ac: 0.2326 0.2326 0.5000
Ac: 0.2423 0.7577 0.0000
Ac: 0.7577 0.2423 0.0000
Ac: 0.7674 0.7674 0.5000
As: 0.0000 0.0000 0.0000
As: 0.0000 0.5000 0.5000
As: 0.5000 0.0000 0.5000
Br: 0.5000 0.5000 0.0000

- magnetic moment (μB per atom) = 0.000
- space-group type = Cmmm (65)
- formation energy from raw total energies (eV/atom) = -1.488